# TlTcSe2

A relaxed structure of TlTcSe2 (GGA-PBE, Alexandria via LeMat-Bulk).

Cell lengths 3.113, 3.921, 7.219 Å; angles 90.00, 90.00, 90.00 degrees
Positions (direct):
Tl  0.500  0.500  0.750
Se  0.000  0.000  0.051
Tc  0.000  0.000  0.396
Se  0.500  0.500  0.303

space-group type	Pmm2 (25)
formation energy without anion corrections	0.989	eV/f.u.
ΔE to the lowest computed polymorph	578.3	meV/atom



# TlTcSe2

A relaxed structure of TlTcSe2 (GGA-PBE, Alexandria via LeMat-Bulk).

Cell lengths 20.336, 6.487, 6.487 Å; angles 96.28, 107.04, 72.96 degrees
Positions (direct):
Se  0.725  0.672  0.691
Se  0.412  0.183  0.120
Tc  0.319  0.970  0.073
Se  0.750  0.180  0.680
Tc  0.819  0.427  0.530
Tl  0.572  0.929  0.361
Se  0.250  0.820  0.320
Tl  0.106  0.242  0.112
Se  0.912  0.380  0.317
Tc  0.681  0.030  0.927
Tl  0.072  0.139  0.571
Tl  0.394  0.612  0.742
Tl  0.428  0.071  0.639
Tc  0.181  0.573  0.470
Se  0.250  0.322  0.822
Tc  0.822  0.405  0.950
Tc  0.322  0.550  0.095
Se  0.426  0.696  0.267
Tl  0.606  0.388  0.258
Se  0.775  0.191  0.172
Tc  0.678  0.450  0.905
Se  0.074  0.767  0.196
Se  0.750  0.678  0.178
Tl  0.894  0.758  0.888
Se  0.275  0.328  0.309
Se  0.088  0.620  0.683
Se  0.588  0.817  0.880
Tl  0.928  0.861  0.429
Se  0.574  0.304  0.733
Se  0.225  0.809  0.828
Tc  0.178  0.595  0.050
Se  0.926  0.233  0.804

space-group type	C2/c (15)
formation energy without anion corrections	-0.558	eV/f.u.
ΔE to the lowest computed polymorph	191.4	meV/atom



# Tl3TcSe

A relaxed structure of Tl3TcSe (GGA-PBE, Alexandria via LeMat-Bulk).

Cell lengths 5.736, 5.736, 5.736 Å; angles 90.00, 90.00, 90.00 degrees
Positions (direct):
Se  0.000  0.000  0.000
Tl  0.000  0.000  0.500
Tc  0.500  0.500  0.500
Tl  0.000  0.500  0.000
Tl  0.500  0.000  0.000

space-group type	Pm-3m (221)
formation energy without anion corrections	5.721	eV/f.u.
ΔE to the lowest computed polymorph	610.6	meV/atom



# TlTcSe2

A relaxed structure of TlTcSe2 (GGA-PBE, Alexandria via LeMat-Bulk).

Cell lengths 3.246, 3.021, 9.547 Å; angles 90.15, 90.00, 90.00 degrees
Positions (direct):
Se  0.000  0.251  0.445
Se  0.000  0.249  0.055
Tl  0.500  0.750  0.750
Tc  0.500  0.250  0.250

space-group type	P2/m (10)
formation energy without anion corrections	0.354	eV/f.u.
ΔE to the lowest computed polymorph	419.5	meV/atom



# TlTcSe2

A relaxed structure of TlTcSe2 (GGA-PBE, Alexandria via LeMat-Bulk).

Cell lengths 4.918, 4.918, 4.918 Å; angles 60.00, 60.00, 60.00 degrees
Positions (direct):
Se  0.250  0.250  0.250
Se  0.000  0.000  0.000
Tc  0.500  0.500  0.500
Tl  0.750  0.750  0.750

space-group type	F-43m (216)
formation energy without anion corrections	3.323	eV/f.u.
ΔE to the lowest computed polymorph	1161.8	meV/atom



# TlTcSe2

A relaxed structure of TlTcSe2 (GGA-PBE, Alexandria via LeMat-Bulk).

Cell lengths 18.217, 7.456, 7.456 Å; angles 87.93, 111.20, 68.80 degrees
Positions (direct):
Se  0.725  0.615  0.637
Tl  0.124  0.752  0.497
Tl  0.442  0.485  0.218
Se  0.437  0.968  0.771
Se  0.063  0.271  0.468
Se  0.750  0.138  0.638
Tc  0.805  0.800  0.583
Tc  0.689  0.728  0.296
Se  0.563  0.032  0.229
Se  0.109  0.285  0.020
Se  0.775  0.137  0.115
Se  0.250  0.862  0.362
Tc  0.695  0.083  0.300
Se  0.609  0.480  0.215
Tl  0.058  0.718  0.985
Tc  0.305  0.917  0.700
Tc  0.189  0.204  0.772
Se  0.225  0.863  0.885
Se  0.937  0.729  0.532
Se  0.891  0.715  0.980
Tl  0.624  0.003  0.748
Tc  0.311  0.272  0.704
Tl  0.942  0.282  0.015
Se  0.250  0.425  0.925
Tl  0.376  0.997  0.252
Tc  0.195  0.200  0.417
Tl  0.876  0.248  0.503
Se  0.391  0.520  0.785
Tc  0.811  0.796  0.228
Se  0.750  0.575  0.075
Se  0.275  0.385  0.363
Tl  0.558  0.515  0.782

space-group type	C2/c (15)
formation energy without anion corrections	-0.939	eV/f.u.
ΔE to the lowest computed polymorph	96.3	meV/atom



# TlTcSe2

A relaxed structure of TlTcSe2 (GGA-PBE, Alexandria via LeMat-Bulk).

Cell lengths 3.270, 3.270, 9.932 Å; angles 90.00, 90.00, 120.00 degrees
Positions (direct):
Tl  0.000  0.000  0.973
Se  0.667  0.333  0.309
Se  0.333  0.667  0.707
Tc  0.333  0.667  0.466

space-group type	P3m1 (156)
formation energy without anion corrections	-0.034	eV/f.u.
ΔE to the lowest computed polymorph	322.6	meV/atom



# TlTcSe2

A relaxed structure of TlTcSe2 (GGA-PBE, Alexandria via LeMat-Bulk).

Cell lengths 8.228, 8.228, 6.561 Å; angles 51.17, 51.17, 90.00 degrees
Positions (direct):
Se  0.161  0.661  0.000
Se  0.661  0.839  0.000
Se  0.839  0.339  0.000
Tl  0.250  0.250  0.500
Se  0.339  0.161  0.000
Tl  0.750  0.750  0.500
Tc  0.250  0.750  0.500
Tc  0.750  0.250  0.500

space-group type	I4/mcm (140)
formation energy without anion corrections	-0.761	eV/f.u.
ΔE to the lowest computed polymorph	140.6	meV/atom



# TlTcSe2

A relaxed structure of TlTcSe2 (GGA-PBE, Alexandria via LeMat-Bulk).

Cell lengths 10.832, 10.832, 10.832 Å; angles 16.44, 16.44, 16.44 degrees
Positions (direct):
Tl  0.500  0.500  0.500
Se  0.074  0.074  0.074
Tc  0.000  0.000  0.000
Se  0.926  0.926  0.926

space-group type	R-3m (166)
formation energy without anion corrections	1.757	eV/f.u.
ΔE to the lowest computed polymorph	770.3	meV/atom



# TlTcSe2

A relaxed structure of TlTcSe2 (GGA-PBE, Alexandria via LeMat-Bulk).

Cell lengths 7.611, 16.017, 3.797 Å; angles 90.00, 90.00, 90.00 degrees
Positions (direct):
Tc  0.516  0.061  0.062
Tc  0.984  0.561  0.562
Se  0.218  0.459  0.562
Tc  0.484  0.939  0.562
Se  0.471  0.207  0.063
Tl  0.352  0.653  0.063
Se  0.282  0.959  0.062
Tl  0.648  0.347  0.563
Tl  0.852  0.847  0.063
Se  0.529  0.793  0.563
Tc  0.016  0.439  0.062
Se  0.971  0.293  0.063
Se  0.029  0.707  0.563
Se  0.718  0.041  0.562
Tl  0.148  0.153  0.563
Se  0.782  0.541  0.062

space-group type	Pnma (62)
formation energy without anion corrections	-0.914	eV/f.u.
ΔE to the lowest computed polymorph	102.6	meV/atom



# TlTcSe2

A relaxed structure of TlTcSe2 (GGA-PBE, Alexandria via LeMat-Bulk).

Cell lengths 8.134, 3.871, 3.871 Å; angles 129.80, 96.37, 83.63 degrees
Positions (direct):
Se  0.671  0.780  0.220
Se  0.329  0.220  0.780
Tc  0.500  0.500  0.500
Tl  0.000  0.000  0.000

space-group type	C2/m (12)
formation energy without anion corrections	-0.600	eV/f.u.
ΔE to the lowest computed polymorph	180.9	meV/atom



# TlTcSe2

A relaxed structure of TlTcSe2 (GGA-PBE, Alexandria via LeMat-Bulk).

Cell lengths 15.386, 4.932, 6.302 Å; angles 90.00, 132.69, 90.00 degrees
Positions (direct):
Se  0.448  0.641  0.253
Tl  0.259  0.587  0.439
Se  0.371  0.111  0.814
Tc  0.032  0.391  0.864
Se  0.948  0.859  0.753
Tl  0.741  0.413  0.561
Tc  0.468  0.891  0.636
Tl  0.759  0.913  0.939
Se  0.129  0.611  0.686
Se  0.052  0.141  0.247
Se  0.629  0.889  0.186
Se  0.552  0.359  0.747
Se  0.871  0.389  0.314
Tc  0.968  0.609  0.136
Tl  0.241  0.087  0.061
Tc  0.532  0.109  0.364

space-group type	P2_1/c (14)
formation energy without anion corrections	-0.074	eV/f.u.
ΔE to the lowest computed polymorph	312.5	meV/atom



# TlTcSe2

A relaxed structure of TlTcSe2 (GGA-PBE, Alexandria via LeMat-Bulk).

Cell lengths 7.887, 3.530, 7.491 Å; angles 89.98, 84.10, 102.94 degrees
Positions (direct):
Tc  0.003  0.653  0.495
Se  0.094  0.198  0.720
Tl  0.369  0.834  0.949
Se  0.036  0.169  0.254
Tc  0.735  0.019  0.401
Tl  0.369  0.836  0.448
Se  0.702  0.502  0.642
Se  0.644  0.473  0.176

space-group type	P1 (1)
formation energy without anion corrections	-1.069	eV/f.u.
ΔE to the lowest computed polymorph	63.8	meV/atom



# TlTcSe2

A relaxed structure of TlTcSe2 (GGA-PBE, Alexandria via LeMat-Bulk).

Cell lengths 5.432, 5.432, 7.449 Å; angles 68.62, 68.62, 90.00 degrees
Positions (direct):
Tc  0.000  0.000  0.000
Se  0.804  0.804  0.393
Tl  0.500  0.500  0.000
Tc  0.750  0.250  0.500
Tl  0.250  0.750  0.500
Se  0.554  0.054  0.893
Se  0.196  0.196  0.607
Se  0.946  0.446  0.107

space-group type	I4_1/amd (141)
formation energy without anion corrections	0.765	eV/f.u.
ΔE to the lowest computed polymorph	522.2	meV/atom



# TlTc3Se

A relaxed structure of TlTc3Se (GGA-PBE, Alexandria via LeMat-Bulk).

Cell lengths 4.593, 4.593, 4.593 Å; angles 90.00, 90.00, 90.00 degrees
Positions (direct):
Tc  0.500  0.000  0.000
Tl  0.500  0.500  0.500
Tc  0.000  0.500  0.000
Se  0.000  0.000  0.000
Tc  0.000  0.000  0.500

space-group type	Pm-3m (221)
formation energy without anion corrections	5.046	eV/f.u.
ΔE to the lowest computed polymorph	0.0	meV/atom



# TlTcSe2

A relaxed structure of TlTcSe2 (GGA-PBE, Alexandria via LeMat-Bulk).

Cell lengths 8.981, 3.223, 14.486 Å; angles 90.00, 90.00, 90.00 degrees
Positions (direct):
Se  0.326  0.750  0.439
Tc  0.033  0.250  0.085
Tl  0.601  0.250  0.891
Tc  0.467  0.750  0.585
Se  0.108  0.750  0.209
Tl  0.399  0.750  0.109
Se  0.892  0.250  0.791
Tc  0.533  0.250  0.415
Se  0.608  0.750  0.291
Tl  0.101  0.250  0.609
Se  0.674  0.250  0.561
Se  0.392  0.250  0.709
Tc  0.967  0.750  0.915
Se  0.826  0.750  0.061
Se  0.174  0.250  0.939
Tl  0.899  0.750  0.391

space-group type	Pnma (62)
formation energy without anion corrections	-0.991	eV/f.u.
ΔE to the lowest computed polymorph	83.1	meV/atom



# TlTcSe2

A relaxed structure of TlTcSe2 (GGA-PBE, Alexandria via LeMat-Bulk).

Cell lengths 12.906, 12.906, 4.803 Å; angles 90.00, 90.00, 166.17 degrees
Positions (direct):
Se  0.057  0.943  0.750
Se  0.860  0.140  0.750
Tl  0.303  0.697  0.250
Tc  0.962  0.038  0.750
Se  0.140  0.860  0.250
Tc  0.038  0.962  0.250
Se  0.943  0.057  0.250
Tl  0.697  0.303  0.750

space-group type	Cmcm (63)
formation energy without anion corrections	0.521	eV/f.u.
ΔE to the lowest computed polymorph	461.2	meV/atom



# TlTcSe4

A relaxed structure of TlTcSe4 (GGA-PBE, Alexandria via LeMat-Bulk).

Cell lengths 5.831, 5.831, 5.831 Å; angles 60.00, 60.00, 60.00 degrees
Positions (direct):
Se  0.376  0.376  0.376
Se  0.872  0.376  0.376
Se  0.376  0.872  0.376
Tl  0.000  0.000  0.000
Tc  0.750  0.750  0.750
Se  0.376  0.376  0.872

space-group type	F-43m (216)
formation energy without anion corrections	4.989	eV/f.u.
ΔE to the lowest computed polymorph	934.2	meV/atom



# TlTcSe2

A relaxed structure of TlTcSe2 (GGA-PBE, Alexandria via LeMat-Bulk).

Cell lengths 3.110, 3.110, 8.832 Å; angles 90.00, 90.00, 90.00 degrees
Positions (direct):
Se  0.000  0.000  0.423
Tl  0.500  0.500  0.750
Tc  0.500  0.500  0.250
Se  0.000  0.000  0.077

space-group type	P4/mmm (123)
formation energy without anion corrections	-0.323	eV/f.u.
ΔE to the lowest computed polymorph	250.3	meV/atom



# TlTcSe2

A relaxed structure of TlTcSe2 (GGA-PBE, Alexandria via LeMat-Bulk).

Cell lengths 7.253, 6.845, 6.845 Å; angles 64.96, 111.80, 68.20 degrees
Positions (direct):
Se  0.111  0.211  0.024
Se  0.889  0.789  0.976
Tl  0.750  0.873  0.373
Tc  0.250  0.748  0.248
Tc  0.750  0.252  0.752
Tl  0.250  0.127  0.627
Se  0.389  0.524  0.711
Se  0.611  0.476  0.289

space-group type	C2/c (15)
formation energy without anion corrections	-0.999	eV/f.u.
ΔE to the lowest computed polymorph	81.3	meV/atom